Entry from Alexandria: a relaxed structure of LaCo2Br8 (PBE).

a b c (Å): 19.472 9.085 12.969
angles (deg): 90.00 130.00 90.00
Space group C2/c (No. 15)
Symmetry-distinct sites (fractional):
La1 0.000 0.004 0.250 [4 per cell]
Co1 0.091 0.249 0.539 [8 per cell]
Br1 0.063 0.231 0.164 [8 per cell]
Br2 0.096 0.236 0.728 [8 per cell]
Br3 0.155 0.459 0.542 [8 per cell]
Br4 0.163 0.037 0.535 [8 per cell]

Values from the calculation:
calculated total energy	-3.82	eV per atom
magnetization	28.000	Bohr magnetons per cell
E_form (uncorrected)	-83	kJ/mol of atoms

=====

Entry from Alexandria: a relaxed structure of CoPtS4 (PBE).

a b c (Å): 4.857 3.482 6.045
angles (deg): 90.00 90.67 90.00
Space group P2/m (No. 10)
Symmetry-distinct sites (fractional):
Co1 0.000 0.000 0.000 [1 per cell]
Pt1 0.000 0.500 0.500 [1 per cell]
S1 0.234 0.500 0.852 [2 per cell]
S2 0.246 0.000 0.319 [2 per cell]

Values from the calculation:
ΔE to the lowest computed polymorph	0.0	kJ per mole of atoms
calculated total energy	-5.24	eV per atom
magnetization	0.000	Bohr magnetons per cell
E_form (uncorrected)	-29	kJ/mol of atoms

=====

Entry from Alexandria: a relaxed structure of Tl3In (PBE).

a b c (Å): 3.680 5.894 6.503
angles (deg): 64.03 73.94 89.86
Space group P1 (No. 1)
Symmetry-distinct sites (fractional):
Tl1 0.000 0.000 0.000 [1 per cell]
Tl2 0.238 0.614 0.514 [1 per cell]
Tl3 0.750 0.124 0.490 [1 per cell]
In1 0.503 0.510 0.003 [1 per cell]

Values from the calculation:
calculated total energy	-2.44	eV per atom
magnetization	0.000	Bohr magnetons per cell
ΔH_f (0 K)	0.014	eV per atom

=====

Entry from Alexandria: a relaxed structure of Pr3Y2Ho2 (PBE).

a b c (Å): 3.567 8.672 8.858
angles (deg): 62.04 89.98 78.15
Space group P-1 (No. 2)
Symmetry-distinct sites (fractional):
Pr1 0.000 0.000 0.000 [1 per cell]
Pr2 0.294 0.412 0.713 [2 per cell]
Y1 0.071 0.858 0.432 [2 per cell]
Ho1 0.362 0.276 0.167 [2 per cell]

Values from the calculation:
ΔE to the lowest computed polymorph	0.0	kJ per mole of atoms
calculated total energy	-5.16	eV per atom
magnetization	0.000	Bohr magnetons per cell
ΔH_f (0 K)	0.043	eV per atom

=====

Entry from Alexandria: a relaxed structure of GaReTe3 (PBE).

a b c (Å): 5.301 5.301 5.301
angles (deg): 90.00 90.00 90.00
Space group Pm-3m (No. 221)
Symmetry-distinct sites (fractional):
Ga1 0.000 0.000 0.000 [1 per cell]
Re1 0.500 0.500 0.500 [1 per cell]
Te1 0.000 0.000 0.500 [3 per cell]

Values from the calculation:
ΔE to the lowest computed polymorph	76.0	kJ per mole of atoms
calculated total energy	-3.57	eV per atom
magnetization	3.923	Bohr magnetons per cell
E_form (uncorrected)	136	kJ/mol of atoms

=====

Entry from Alexandria: a relaxed structure of Ta3C (PBE).

a b c (Å): 4.255 4.255 4.255
angles (deg): 90.00 90.00 90.00
Space group Pm-3m (No. 221)
Symmetry-distinct sites (fractional):
Ta1 0.000 0.000 0.500 [3 per cell]
C1 0.000 0.000 0.000 [1 per cell]

Values from the calculation:
ΔE to the lowest computed polymorph	99.3	kJ per mole of atoms
calculated total energy	-10.53	eV per atom
magnetization	0.000	Bohr magnetons per cell
ΔH_f (0 K)	0.667	eV per atom

=====

Entry from Alexandria: a relaxed structure of Ce2SmIn6 (PBE).

a b c (Å): 8.7638 8.7638 3.6035
angles (deg): 90.00 90.00 120.00
Space group P6/mmm (No. 191)
Symmetry-distinct sites (fractional):
Ce1 0.3333 0.6667 0.0000 [2 per cell]
Sm1 0.0000 0.0000 0.0000 [1 per cell]
In1 0.0000 0.3327 0.5000 [6 per cell]

Values from the calculation:
calculated total energy	-4.06	eV per atom
magnetization	1.546	Bohr magnetons per cell
ΔH_f (0 K)	-0.392	eV per atom

=====

Entry from Alexandria: a relaxed structure of Rb2Ag3Sb2 (PBE).

a b c (Å): 13.487 4.809 8.244
angles (deg): 90.00 119.63 90.00
Space group C2/m (No. 12)
Symmetry-distinct sites (fractional):
Rb1 0.135 0.000 0.259 [4 per cell]
Ag1 0.000 0.500 0.500 [2 per cell]
Ag2 0.172 0.500 0.917 [4 per cell]
Sb1 0.132 0.000 0.715 [4 per cell]

Values from the calculation:
calculated total energy	-2.84	eV per atom
magnetization	0.000	Bohr magnetons per cell
E_form (uncorrected)	-15	kJ/mol of atoms

=====

Entry from Alexandria: a relaxed structure of HfTaBe2 (PBE).

a b c (Å): 6.789 6.789 5.303
angles (deg): 90.00 90.00 90.00
Space group I-42d (No. 122)
Symmetry-distinct sites (fractional):
Hf1 0.000 0.000 0.000 [4 per cell]
Ta1 0.000 0.000 0.500 [4 per cell]
Be1 0.239 0.750 0.625 [8 per cell]

Values from the calculation:
ΔE to the lowest computed polymorph	46.6	kJ per mole of atoms
calculated total energy	-6.83	eV per atom
magnetization	0.000	Bohr magnetons per cell
ΔH_f (0 K)	0.488	eV per atom

=====

Entry from Alexandria: a relaxed structure of Ni2AgHPt (PBE).

a b c (Å): 3.878 3.878 3.732
angles (deg): 90.00 90.00 90.00
Space group P4/mmm (No. 123)
Symmetry-distinct sites (fractional):
Ni1 0.000 0.500 0.000 [2 per cell]
Ag1 0.000 0.000 0.500 [1 per cell]
H1 0.500 0.500 0.000 [1 per cell]
Pt1 0.500 0.500 0.500 [1 per cell]

Values from the calculation:
ΔE to the lowest computed polymorph	0.0	kJ per mole of atoms
calculated total energy	-4.67	eV per atom
magnetization	1.022	Bohr magnetons per cell

=====

Entry from Alexandria: a relaxed structure of Pm2FeIr2 (PBE).

a b c (Å): 4.136 5.727 8.825
angles (deg): 90.00 90.00 90.00
Space group Immm (No. 71)
Symmetry-distinct sites (fractional):
Pm1 0.000 0.000 0.198 [4 per cell]
Fe1 0.000 0.500 0.000 [2 per cell]
Ir1 0.000 0.254 0.500 [4 per cell]

Values from the calculation:
calculated total energy	-7.65	eV per atom
magnetization	5.276	Bohr magnetons per cell
ΔH_f (0 K)	-0.517	eV per atom

=====

Entry from Alexandria: a relaxed structure of Li2CaBiF (PBE).

a b c (Å): 4.546 4.546 4.721
angles (deg): 90.00 90.00 90.00
Space group P4/mmm (No. 123)
Symmetry-distinct sites (fractional):
Li1 0.000 0.500 0.000 [2 per cell]
Ca1 0.000 0.000 0.500 [1 per cell]
Bi1 0.500 0.500 0.500 [1 per cell]
F1 0.000 0.000 0.000 [1 per cell]

Values from the calculation:
calculated total energy	-3.85	eV per atom
magnetization	0.000	Bohr magnetons per cell
E_form (uncorrected)	-148	kJ/mol of atoms

=====

Entry from Alexandria: a relaxed structure of Cd3Se4 (PBE).

a b c (Å): 22.022 9.096 8.580
angles (deg): 90.00 101.50 90.00
Space group Cm (No. 8)
Symmetry-distinct sites (fractional):
Cd1 0.000 0.173 0.000 [4 per cell]
Cd2 0.014 0.298 0.469 [4 per cell]
Cd3 0.161 0.307 0.783 [4 per cell]
Cd4 0.183 0.177 0.300 [4 per cell]
Cd5 0.336 0.196 0.613 [4 per cell]
Cd6 0.336 0.204 0.136 [4 per cell]
Se1 0.058 0.500 0.712 [2 per cell]
Se2 0.061 0.135 0.745 [4 per cell]
Se3 0.073 0.298 0.233 [4 per cell]
Se4 0.228 0.364 0.073 [4 per cell]
Se5 0.230 0.364 0.566 [4 per cell]
Se6 0.235 0.000 0.088 [2 per cell]
Se7 0.235 0.000 0.571 [2 per cell]
Se8 0.398 0.138 0.908 [4 per cell]
Se9 0.398 0.290 0.408 [4 per cell]
Se10 0.402 0.500 0.934 [2 per cell]

Values from the calculation:
ΔE to the lowest computed polymorph	0.0	kJ per mole of atoms
calculated total energy	-2.75	eV per atom
magnetization	0.000	Bohr magnetons per cell
E_form (uncorrected)	-35	kJ/mol of atoms

=====

Entry from Alexandria: a relaxed structure of AlZnGe (PBE).

a b c (Å): 6.143 6.143 6.143
angles (deg): 90.00 90.00 90.00
Space group F-43m (No. 216)
Symmetry-distinct sites (fractional):
Al1 0.000 0.000 0.000 [4 per cell]
Zn1 0.250 0.250 0.750 [4 per cell]
Ge1 0.250 0.250 0.250 [4 per cell]

Values from the calculation:
calculated total energy	-3.07	eV per atom
magnetization	0.000	Bohr magnetons per cell
ΔH_f (0 K)	0.140	eV per atom

=====

Entry from Alexandria: a relaxed structure of SiIr (PBE).

a b c (Å): 7.289 7.289 7.289
angles (deg): 90.00 90.00 90.00
Space group I-43m (No. 217)
Symmetry-distinct sites (fractional):
Si1 0.180 0.180 0.180 [8 per cell]
Ir1 0.139 0.139 0.861 [8 per cell]

Values from the calculation:
calculated total energy	-7.18	eV per atom
magnetization	0.000	Bohr magnetons per cell
E_form (uncorrected)	-4	kJ/mol of atoms

=====

Entry from Alexandria: a relaxed structure of TlAgPb2 (PBE).

a b c (Å): 4.900 4.900 4.590
angles (deg): 90.00 90.00 90.00
Space group P4/mmm (No. 123)
Symmetry-distinct sites (fractional):
Tl1 0.000 0.000 0.000 [1 per cell]
Ag1 0.500 0.500 0.000 [1 per cell]
Pb1 0.000 0.500 0.500 [2 per cell]

Values from the calculation:
ΔE to the lowest computed polymorph	7.8	kJ per mole of atoms
calculated total energy	-3.05	eV per atom
magnetization	0.000	Bohr magnetons per cell
ΔH_f (0 K)	0.104	eV per atom

=====

Entry from Alexandria: a relaxed structure of RbZnBiAu3 (PBE).

a b c (Å): 7.106 7.315 7.343
angles (deg): 90.00 109.84 90.00
Space group P2_1/m (No. 11)
Symmetry-distinct sites (fractional):
Rb1 0.224 0.250 0.481 [2 per cell]
Zn1 0.138 0.750 0.177 [2 per cell]
Bi1 0.436 0.750 0.943 [2 per cell]
Au1 0.190 0.054 0.000 [4 per cell]
Au2 0.281 0.750 0.539 [2 per cell]

Values from the calculation:
calculated total energy	-2.86	eV per atom
magnetization	0.000	Bohr magnetons per cell
ΔH_f (0 K)	-0.196	eV per atom

=====

Entry from Alexandria: a relaxed structure of ZnCrMo2 (PBE).

a b c (Å): 3.163 4.292 8.541
angles (deg): 90.00 90.00 90.00
Space group Immm (No. 71)
Symmetry-distinct sites (fractional):
Zn1 0.000 0.000 0.000 [2 per cell]
Cr1 0.000 0.000 0.500 [2 per cell]
Mo1 0.000 0.500 0.231 [4 per cell]

Values from the calculation:
calculated total energy	-7.96	eV per atom
magnetization	0.001	Bohr magnetons per cell
ΔH_f (0 K)	0.180	eV per atom

=====

Entry from Alexandria: a relaxed structure of BeZn2B (PBE).

a b c (Å): 5.645 5.645 5.645
angles (deg): 90.00 90.00 90.00
Space group Fm-3m (No. 225)
Symmetry-distinct sites (fractional):
Be1 0.000 0.000 0.000 [4 per cell]
Zn1 0.250 0.250 0.250 [8 per cell]
B1 0.000 0.000 0.500 [4 per cell]

Values from the calculation:
ΔE to the lowest computed polymorph	48.3	kJ per mole of atoms
calculated total energy	-2.43	eV per atom
magnetization	0.000	Bohr magnetons per cell
ΔH_f (0 K)	0.806	eV per atom

=====

Entry from Alexandria: a relaxed structure of MnTcSeBr2 (PBE).

a b c (Å): 5.039 5.039 4.585
angles (deg): 90.00 90.00 90.00
Space group P4/mmm (No. 123)
Symmetry-distinct sites (fractional):
Mn1 0.000 0.000 0.000 [1 per cell]
Tc1 0.500 0.500 0.500 [1 per cell]
Se1 0.000 0.000 0.500 [1 per cell]
Br1 0.000 0.500 0.000 [2 per cell]

Values from the calculation:
calculated total energy	-4.41	eV per atom
magnetization	4.902	Bohr magnetons per cell
E_form (uncorrected)	83	kJ/mol of atoms

=====

Entry from Alexandria: a relaxed structure of Sr2YIr (PBE).

a b c (Å): 5.407 14.080 4.299
angles (deg): 90.00 90.00 90.00
Space group Cmmm (No. 65)
Symmetry-distinct sites (fractional):
Sr1 0.000 0.143 0.000 [4 per cell]
Y1 0.000 0.500 0.500 [2 per cell]
Ir1 0.000 0.000 0.500 [2 per cell]

Values from the calculation:
ΔE to the lowest computed polymorph	14.2	kJ per mole of atoms
calculated total energy	-4.82	eV per atom
magnetization	0.000	Bohr magnetons per cell
ΔH_f (0 K)	-0.145	eV per atom

=====

Entry from Alexandria: a relaxed structure of Ho6ZrS8 (PBE).

a b c (Å): 10.903 10.903 10.903
angles (deg): 90.00 90.00 90.00
Space group Fm-3m (No. 225)
Symmetry-distinct sites (fractional):
Ho1 0.000 0.250 0.250 [24 per cell]
Zr1 0.000 0.000 0.000 [4 per cell]
S1 0.000 0.000 0.248 [24 per cell]
S2 0.250 0.250 0.250 [8 per cell]

Values from the calculation:
calculated total energy	-6.56	eV per atom
magnetization	0.001	Bohr magnetons per cell
E_form (uncorrected)	-189	kJ/mol of atoms

=====

Entry from Alexandria: a relaxed structure of LiMg2PbO (PBE).

a b c (Å): 4.338 4.338 4.386
angles (deg): 90.00 90.00 90.00
Space group P4/mmm (No. 123)
Symmetry-distinct sites (fractional):
Li1 0.000 0.000 0.000 [1 per cell]
Mg1 0.000 0.500 0.500 [2 per cell]
Pb1 0.500 0.500 0.000 [1 per cell]
O1 0.000 0.000 0.500 [1 per cell]

Values from the calculation:
calculated total energy	-3.78	eV per atom
magnetization	0.000	Bohr magnetons per cell
E_form (uncorrected)	-99	kJ/mol of atoms

=====

Entry from Alexandria: a relaxed structure of Pm6Sm3Ho2In (PBE).

a b c (Å): 6.215 10.804 11.813
angles (deg): 90.00 100.32 90.00
Space group C2/m (No. 12)
Symmetry-distinct sites (fractional):
Pm1 0.244 0.163 0.244 [8 per cell]
Pm2 0.246 0.000 0.754 [4 per cell]
Sm1 0.000 0.168 0.500 [4 per cell]
Sm2 0.000 0.500 0.500 [2 per cell]
Ho1 0.000 0.334 0.000 [4 per cell]
In1 0.000 0.000 0.000 [2 per cell]

Values from the calculation:
calculated total energy	-4.58	eV per atom
magnetization	0.000	Bohr magnetons per cell
ΔH_f (0 K)	-0.034	eV per atom